--- a ---
A plane-wave DFT calculation with PBE was carried out for a relaxed Pa2Si2Ir crystal.

The structure in POSCAR format:
```
Pa2Si2Ir
1.0
-3.6274 -0.0508 -2.1435
0.6983 -1.5646 -5.2862
-3.2790 -8.6038 1.6113
Pa Si Ir
4 4 2
Direct
0.9229 0.2648 0.8893
0.0771 0.7352 0.1107
0.3176 0.6896 0.6751
0.6824 0.3104 0.3249
0.6390 0.8328 0.8892
0.9172 0.7219 0.4436
0.0828 0.2781 0.5564
0.3610 0.1672 0.1108
0.3911 0.8852 0.3325
0.6089 0.1148 0.6675
```

density: 12.0 Mg/m³
magnetization: 0.000 μB/cell
DOS(E_F): 9.61 states/eV per cell
crystal system: monoclinic

---

--- b ---
A plane-wave DFT calculation with PBE was carried out for a relaxed Pa2Si2Ir crystal.

The structure in POSCAR format:
```
Pa2Si2Ir
1.0
-0.1077 1.4436 3.5163
4.6953 -1.3362 2.7485
4.0717 3.7974 0.6218
Ir Pa Si
1 2 2
Direct
0.0000 0.0000 0.0000
0.2192 0.2808 0.2808
0.7808 0.7192 0.7192
0.5000 0.7165 0.2835
0.5000 0.2835 0.7165
```

density: 12.4 Mg/m³
magnetization: 0.000 μB/cell
DOS(E_F): 5.74 states/eV per cell
crystal system: orthorhombic

---

Order of stability, best first: b, a

---

--- a ---
A plane-wave DFT calculation with PBE was carried out for a relaxed TbPaIr crystal.

The structure in POSCAR format:
```
TbPaIr
1.0
4.7998 0.0000 0.0000
2.3999 4.1568 0.0000
2.3999 1.3856 3.9190
Pa Tb Ir
1 1 1
Direct
0.5000 0.5000 0.5000
0.0000 0.0000 0.0000
0.2500 0.2500 0.2500
```

density: 12.4 Mg/m³
magnetization: 0.003 μB/cell
DOS(E_F): 5.42 states/eV per cell
crystal system: cubic

---

--- b ---
A plane-wave DFT calculation with PBE was carried out for a relaxed TbPaIr crystal.

The structure in POSCAR format:
```
TbPaIr
1.0
-2.7153 -1.9348 -1.3373
1.3973 0.3160 -3.2943
3.5209 -3.7440 3.0930
Tb Pa Ir
1 1 1
Direct
0.0059 0.0059 0.0119
0.3034 0.3034 0.6069
0.6906 0.6906 0.3812
```

density: 13.8 Mg/m³
magnetization: 0.000 μB/cell
DOS(E_F): 3.73 states/eV per cell
crystal system: tetragonal

---

Order of stability, best first: b, a

---

--- a ---
A plane-wave DFT calculation with PBE was carried out for a relaxed TbPaIr crystal.

The structure in POSCAR format:
```
TbPaIr
1.0
-2.4844 2.3202 1.6994
-3.0599 -0.8360 -3.3319
0.0920 -2.6532 3.7571
Pa Tb Ir
1 1 1
Direct
0.2827 0.3333 0.6667
0.6861 0.6667 0.3333
0.0312 0.0000 0.0000
```

density: 13.9 Mg/m³
magnetization: 0.000 μB/cell
DOS(E_F): 3.78 states/eV per cell
crystal system: trigonal

---

--- b ---
A plane-wave DFT calculation with PBE was carried out for a relaxed TbPaIr crystal.

The structure in POSCAR format:
```
TbPaIr
1.0
-3.1363 1.2550 -2.5772
-3.7842 -4.8310 -1.2498
-5.6651 -0.3816 3.2056
Ir Pa Tb
2 2 2
Direct
0.3024 0.5170 0.8782
0.0191 0.8017 0.1600
0.7366 0.3223 0.2044
0.3500 0.9541 0.3459
0.9826 0.4126 0.6222
0.6325 0.9322 0.8027
```

density: 13.7 Mg/m³
magnetization: 0.000 μB/cell
DOS(E_F): 7.84 states/eV per cell
crystal system: monoclinic

---

Order of stability, best first: b, a

---

--- a ---
A plane-wave DFT calculation with PBE was carried out for a relaxed PaZnTcIr crystal.

The structure in POSCAR format:
```
PaZnTcIr
1.0
4.6287 0.0000 0.0000
2.3144 4.0086 0.0000
2.3144 1.3362 3.7793
Tc Pa Ir Zn
1 1 1 1
Direct
0.2500 0.2500 0.2500
0.5000 0.5000 0.5000
0.7500 0.7500 0.7500
0.0000 0.0000 0.0000
```

density: 13.9 Mg/m³
magnetization: 0.000 μB/cell
DOS(E_F): 2.48 states/eV per cell
crystal system: cubic

---

--- b ---
A plane-wave DFT calculation with PBE was carried out for a relaxed PaZnTcIr crystal.

The structure in POSCAR format:
```
PaZnTcIr
1.0
-2.8640 -2.3234 0.2736
0.8751 -0.5775 4.2560
-2.5277 3.2287 0.9578
Pa Tc Zn Ir
1 1 1 1
Direct
0.5000 0.5000 0.0000
0.0000 0.5000 0.5000
0.5000 0.0000 0.5000
0.0000 0.0000 0.0000
```

density: 14.3 Mg/m³
magnetization: 0.000 μB/cell
DOS(E_F): 2.85 states/eV per cell
crystal system: orthorhombic

---

Order of stability, best first: b, a

---

--- a ---
A plane-wave DFT calculation with PBE was carried out for a relaxed ThPaIr crystal.

The structure in POSCAR format:
```
ThPaIr
1.0
3.7872 0.0000 0.0000
-1.8936 5.8876 0.0000
0.0000 0.0000 6.9976
Th Ir Pa
2 2 2
Direct
0.2063 0.4127 0.7500
0.7937 0.5873 0.2500
0.0929 0.1857 0.2500
0.9071 0.8143 0.7500
0.5000 0.0000 0.0000
0.5000 0.0000 0.5000
```

density: 13.9 Mg/m³
magnetization: 0.000 μB/cell
DOS(E_F): 8.96 states/eV per cell
crystal system: orthorhombic

---

--- b ---
A plane-wave DFT calculation with PBE was carried out for a relaxed ThPaIr crystal.

The structure in POSCAR format:
```
ThPaIr
1.0
3.6502 0.0000 0.0000
0.0000 3.6502 0.0000
-1.8251 -1.8251 5.5337
Ir Th Pa
1 1 1
Direct
0.6906 0.6906 0.3813
0.0095 0.0095 0.0190
0.2999 0.2999 0.5997
```

density: 14.8 Mg/m³
magnetization: 0.000 μB/cell
DOS(E_F): 3.77 states/eV per cell
crystal system: tetragonal

---

--- c ---
A plane-wave DFT calculation with PBE was carried out for a relaxed ThPaIr crystal.

The structure in POSCAR format:
```
ThPaIr
1.0
-2.7684 -2.0657 1.9537
-1.6262 -1.5960 -3.9919
3.2932 -2.3070 2.2271
Pa Ir Th
1 1 1
Direct
0.2976 0.3333 0.6667
0.0298 0.0000 0.0000
0.6726 0.6667 0.3333
```

density: 15.0 Mg/m³
magnetization: 0.000 μB/cell
DOS(E_F): 1.71 states/eV per cell
crystal system: trigonal

---

Order of stability, best first: a, b, c

---

--- a ---
A plane-wave DFT calculation with PBE was carried out for a relaxed ThPaIr2 crystal.

The structure in POSCAR format:
```
ThPaIr2
1.0
3.9858 0.0000 0.0000
1.9929 3.4518 0.0000
1.9929 1.1506 6.9909
Th Ir Pa
1 2 1
Direct
0.4976 0.4976 0.5072
0.2552 0.2552 0.2345
0.0781 0.0781 0.7657
0.6691 0.6691 0.9926
```

density: 14.6 Mg/m³
magnetization: 0.000 μB/cell
DOS(E_F): 3.41 states/eV per cell
crystal system: trigonal

---

--- b ---
A plane-wave DFT calculation with PBE was carried out for a relaxed ThPaIr2 crystal.

The structure in POSCAR format:
```
ThPaIr2
1.0
4.0576 0.0000 0.0000
2.0288 3.5140 0.0000
2.0288 1.1713 6.6705
Pa Ir Th
1 2 1
Direct
0.0000 0.0000 0.0000
0.2552 0.2552 0.2345
0.7448 0.7448 0.7655
0.5000 0.5000 0.5000
```

density: 14.8 Mg/m³
magnetization: 0.000 μB/cell
DOS(E_F): 2.10 states/eV per cell
crystal system: trigonal

---

Order of stability, best first: b, a

---

--- a ---
A plane-wave DFT calculation with PBE was carried out for a relaxed PaTiIr crystal.

The structure in POSCAR format:
```
PaTiIr
1.0
4.8746 -0.0611 -2.2212
-2.8911 4.4563 -0.6946
-0.2756 0.0611 5.3497
Ir Pa Ti
2 2 2
Direct
0.5000 0.0000 0.0000
0.0000 0.5000 0.0000
0.7500 0.8871 0.6371
0.2500 0.1129 0.3629
0.5000 0.5000 0.0000
0.0000 0.5000 0.5000
```

density: 13.8 Mg/m³
magnetization: 0.000 μB/cell
DOS(E_F): 9.42 states/eV per cell
crystal system: orthorhombic

---

--- b ---
A plane-wave DFT calculation with PBE was carried out for a relaxed PaTiIr crystal.

The structure in POSCAR format:
```
PaTiIr
1.0
4.5490 0.0000 0.0000
0.0000 6.6970 0.0000
0.0000 -3.3485 5.7997
Ir Pa Ti
3 3 3
Direct
0.5000 0.0000 0.7577
0.5000 0.7577 0.0000
0.5000 0.2423 0.2423
0.0000 0.0000 0.4765
0.0000 0.4765 0.0000
0.0000 0.5235 0.5235
0.0000 0.0000 0.0000
0.5000 0.3333 0.6667
0.5000 0.6667 0.3333
```

density: 13.3 Mg/m³
magnetization: 0.000 μB/cell
DOS(E_F): 11.92 states/eV per cell
crystal system: hexagonal

---

Order of stability, best first: a, b

---

--- a ---
A plane-wave DFT calculation with PBE was carried out for a relaxed PaTiIr2 crystal.

The structure in POSCAR format:
```
PaTiIr2
1.0
4.2929 0.0000 0.0000
2.1464 3.7177 0.0000
2.1464 1.2392 4.7667
Ti Ir Pa
1 2 1
Direct
0.0000 0.0000 0.0000
0.2786 0.2786 0.1641
0.7214 0.7214 0.8359
0.5000 0.5000 0.5000
```

density: 14.5 Mg/m³
magnetization: 0.000 μB/cell
DOS(E_F): 4.12 states/eV per cell
crystal system: trigonal

---

--- b ---
A plane-wave DFT calculation with PBE was carried out for a relaxed PaTiIr2 crystal.

The structure in POSCAR format:
```
PaTiIr2
1.0
3.0654 0.0000 0.0000
0.0000 3.0654 0.0000
0.0000 0.0000 7.3978
Pa Ir Ti
1 2 1
Direct
0.5000 0.5000 0.5000
0.0000 0.0000 0.2100
0.0000 0.0000 0.7900
0.5000 0.5000 0.0000
```

density: 15.8 Mg/m³
magnetization: 0.001 μB/cell
DOS(E_F): 4.01 states/eV per cell
crystal system: tetragonal

---

--- c ---
A plane-wave DFT calculation with PBE was carried out for a relaxed PaTiIr2 crystal.

The structure in POSCAR format:
```
PaTiIr2
1.0
4.5098 0.0000 0.0000
0.0000 5.5456 0.0000
0.0000 0.0000 5.9516
Ir Pa Ti
4 2 2
Direct
0.5000 0.3169 0.2405
0.0000 0.6831 0.2595
0.5000 0.3169 0.7595
0.0000 0.6831 0.7405
0.5000 0.8592 0.0000
0.0000 0.1408 0.5000
0.5000 0.6883 0.5000
0.0000 0.3117 0.0000
```

density: 14.8 Mg/m³
magnetization: 0.000 μB/cell
DOS(E_F): 7.37 states/eV per cell
crystal system: orthorhombic

---

Order of stability, best first: b, c, a

---

--- a ---
A plane-wave DFT calculation with PBE was carried out for a relaxed TmPaIr2 crystal.

The structure in POSCAR format:
```
TmPaIr2
1.0
3.9213 0.0000 0.0000
1.9606 3.3959 0.0000
1.9606 1.1320 6.6992
Ir Tm Pa
2 1 1
Direct
0.7461 0.7461 0.7618
0.2539 0.2539 0.2382
0.5000 0.5000 0.5000
0.0000 0.0000 0.0000
```

density: 14.6 Mg/m³
magnetization: 0.000 μB/cell
DOS(E_F): 1.90 states/eV per cell
crystal system: trigonal

---

--- b ---
A plane-wave DFT calculation with PBE was carried out for a relaxed TmPaIr2 crystal.

The structure in POSCAR format:
```
TmPaIr2
1.0
3.4313 0.0000 0.0000
0.0000 3.4313 0.0000
0.0000 0.0000 6.9365
Tm Ir Pa
1 2 1
Direct
0.5000 0.5000 0.0000
0.0000 0.0000 0.7401
0.0000 0.0000 0.2599
0.5000 0.5000 0.5000
```

density: 15.9 Mg/m³
magnetization: 0.000 μB/cell
DOS(E_F): 3.71 states/eV per cell
crystal system: tetragonal

---

Order of stability, best first: a, b

---

--- a ---
A plane-wave DFT calculation with PBE was carried out for a relaxed PaV2Ir crystal.

The structure in POSCAR format:
```
PaV2Ir
1.0
-1.8396 -2.5178 -0.9414
2.6456 -1.8978 -0.0941
-0.9014 -1.5496 5.9057
V Ir Pa
2 1 1
Direct
0.0000 0.0000 0.7630
0.0000 0.0000 0.2370
0.5000 0.5000 0.0000
0.5000 0.5000 0.5000
```

density: 13.3 Mg/m³
magnetization: 0.002 μB/cell
DOS(E_F): 4.96 states/eV per cell
crystal system: tetragonal

---

--- b ---
A plane-wave DFT calculation with PBE was carried out for a relaxed PaV2Ir crystal.

The structure in POSCAR format:
```
PaV2Ir
1.0
-3.4113 2.1098 2.0270
-4.2146 -1.4310 -0.6215
-2.2085 -2.0112 3.3587
Ir V Pa
1 2 1
Direct
0.0000 0.0000 0.0000
0.7501 0.7501 0.7498
0.2499 0.2499 0.2502
0.5000 0.5000 0.5000
```

density: 13.6 Mg/m³
magnetization: 0.003 μB/cell
DOS(E_F): 6.28 states/eV per cell
crystal system: cubic

---

Order of stability, best first: b, a

---

--- a ---
A plane-wave DFT calculation with PBE was carried out for a relaxed YPaIr crystal.

The structure in POSCAR format:
```
YPaIr
1.0
4.1799 0.0000 0.0000
2.0899 3.6199 0.0000
2.0899 1.2066 10.3426
Y Ir Pa
2 2 2
Direct
0.3766 0.3766 0.8703
0.6234 0.6234 0.1297
0.2426 0.2426 0.2723
0.7574 0.7574 0.7277
0.8659 0.8659 0.4024
0.1341 0.1341 0.5976
```

density: 10.9 Mg/m³
magnetization: 0.010 μB/cell
DOS(E_F): 9.71 states/eV per cell
crystal system: trigonal

---

--- b ---
A plane-wave DFT calculation with PBE was carried out for a relaxed YPaIr crystal.

The structure in POSCAR format:
```
YPaIr
1.0
4.7989 0.0000 0.0000
2.3994 4.1559 0.0000
2.3994 1.3853 3.9183
Ir Y Pa
1 1 1
Direct
0.2500 0.2500 0.2500
0.0000 0.0000 0.0000
0.5000 0.5000 0.5000
```

density: 10.9 Mg/m³
magnetization: 0.002 μB/cell
DOS(E_F): 5.47 states/eV per cell
crystal system: cubic

---

Order of stability, best first: a, b

---

--- a ---
A plane-wave DFT calculation with PBE was carried out for a relaxed Zr2PaIr crystal.

The structure in POSCAR format:
```
Zr2PaIr
1.0
3.3506 0.0000 0.0000
0.0000 3.3506 0.0000
0.0000 0.0000 7.5695
Pa Zr Ir
1 2 1
Direct
0.5000 0.5000 0.5000
0.0000 0.0000 0.7852
0.0000 0.0000 0.2148
0.5000 0.5000 0.0000
```

density: 11.8 Mg/m³
magnetization: 0.000 μB/cell
DOS(E_F): 3.81 states/eV per cell
crystal system: tetragonal

---

--- b ---
A plane-wave DFT calculation with PBE was carried out for a relaxed Zr2PaIr crystal.

The structure in POSCAR format:
```
Zr2PaIr
1.0
4.8369 0.0000 0.0000
2.4185 4.1889 0.0000
2.4185 1.3963 3.9498
Ir Zr Pa
1 2 1
Direct
0.5000 0.5000 0.5000
0.2500 0.2500 0.2501
0.7500 0.7500 0.7499
0.0000 0.0000 0.0000
```

density: 12.6 Mg/m³
magnetization: 0.000 μB/cell
DOS(E_F): 4.59 states/eV per cell
crystal system: cubic

---

Order of stability, best first: a, b

---

--- a ---
A plane-wave DFT calculation with PBE was carried out for a relaxed Ir2Pb crystal.

The structure in POSCAR format:
```
Ir2Pb
1.0
3.9295 -6.8062 0.0000
3.9295 6.8062 0.0000
0.0000 0.0000 2.9613
Ir Pb
6 3
Direct
0.3059 0.0000 0.0000
0.6941 0.6941 0.0000
0.0000 0.6380 0.5000
0.0000 0.3059 0.0000
0.6380 0.0000 0.5000
0.3620 0.3620 0.5000
0.6667 0.3333 0.0000
0.3333 0.6667 0.0000
0.0000 0.0000 0.5000
```

density: 18.6 Mg/m³
magnetization: 0.000 μB/cell
DOS(E_F): 12.39 states/eV per cell
crystal system: hexagonal

---

--- b ---
A plane-wave DFT calculation with PBE was carried out for a relaxed Ir2Pb crystal.

The structure in POSCAR format:
```
Ir2Pb
1.0
4.1676 0.0000 0.0000
0.0000 6.0483 0.0000
0.0000 0.0000 8.3795
Pb Ir
4 8
Direct
0.7500 0.8443 0.9064
0.2500 0.1557 0.0936
0.7500 0.3443 0.5936
0.2500 0.6557 0.4064
0.2500 0.0995 0.7614
0.7500 0.8892 0.5816
0.2500 0.1108 0.4184
0.2500 0.5995 0.7386
0.2500 0.6108 0.0816
0.7500 0.9005 0.2386
0.7500 0.3892 0.9184
0.7500 0.4005 0.2614
```

density: 18.6 Mg/m³
magnetization: 0.000 μB/cell
DOS(E_F): 10.60 states/eV per cell
crystal system: orthorhombic

---

Order of stability, best first: b, a